# 1
# KMgAgTe2, optimized geometry, DFT PBE
# - Total magnetic moment: 0.0000 μB/atom
# - DFT total energy: -3.074 eV/atom
# - Formation energy from raw total energies: -0.71 eV per atom
data_KMgAgTe2
_symmetry_space_group_name_H-M 'C m m e'
_symmetry_Int_Tables_number 67
_symmetry_space_group_name_Hall '-C 2a 2'
_cell_length_a 6.5992
_cell_length_b 15.3521
_cell_length_c 6.7470
_cell_angle_alpha 90.00
_cell_angle_beta 90.00
_cell_angle_gamma 90.00
loop_
_atom_site_label
_atom_site_fract_x
_atom_site_fract_y
_atom_site_fract_z
K1 0.0000 0.2500 0.2384
Mg1 0.2500 0.0000 0.5000
Ag1 0.0000 0.0000 0.0000
Te1 0.0000 0.1184 0.7130


# 2
# Li4Ac3Ga4, optimized geometry, DFT PBE
# - Total magnetic moment: 0.0001 μB/atom
# - DFT total energy: -3.247 eV/atom
# - Formation energy: -0.330 eV per atom
# - Energy relative to the lowest polymorph listed for this composition: 0.0000 eV/atom
data_Li4Ac3Ga4
_symmetry_space_group_name_H-M 'I m m m'
_symmetry_Int_Tables_number 71
_symmetry_space_group_name_Hall '-I 2 2'
_cell_length_a 4.8089
_cell_length_b 7.2583
_cell_length_c 15.3708
_cell_angle_alpha 90.00
_cell_angle_beta 90.00
_cell_angle_gamma 90.00
loop_
_atom_site_label
_atom_site_fract_x
_atom_site_fract_y
_atom_site_fract_z
Li1 0.0000 0.1892 0.1688
Ac1 0.0000 0.0000 0.3639
Ac2 0.0000 0.5000 0.5000
Ga1 0.0000 0.3233 0.0000
Ga2 0.0000 0.5000 0.2885


# 3
# Sr2Zn4GaAu3, optimized geometry, DFT PBE
# - Total magnetic moment: 0.0000 μB/atom
# - DFT total energy: -2.603 eV/atom
# - Formation energy: -0.471 eV per atom
data_Sr2Zn4GaAu3
_symmetry_space_group_name_H-M 'P -4 m 2'
_symmetry_Int_Tables_number 115
_symmetry_space_group_name_Hall 'P -4 -2'
_cell_length_a 4.4669
_cell_length_b 4.4669
_cell_length_c 10.9355
_cell_angle_alpha 90.00
_cell_angle_beta 90.00
_cell_angle_gamma 90.00
loop_
_atom_site_label
_atom_site_fract_x
_atom_site_fract_y
_atom_site_fract_z
Sr1 0.0000 0.5000 0.2471
Zn1 0.0000 0.0000 0.5000
Zn2 0.0000 0.5000 0.8712
Zn3 0.5000 0.5000 0.5000
Ga1 0.5000 0.5000 0.0000
Au1 0.0000 0.0000 0.0000
Au2 0.0000 0.5000 0.6328


> Look up the DFT total energy of the second one.

-3.247 eV/atom


> The highest total magnetic moment belongs to which entry?

Li4Ac3Ga4